An optimized crystal structure of Mg2TaPd8. Source: Alexandria, functional GGA-PBE.

Cell: 4.1679 6.8714 7.3730 Å, 117.77 106.42 90.00°
Fractional positions:
1 Mg 0.1908 0.6908 0.3816
2 Mg 0.8092 0.3092 0.6184
3 Ta 0.5000 0.0000 0.0000
4 Pd 0.6558 0.8802 0.3116
5 Pd 0.3442 0.5686 0.6883
6 Pd 0.1500 0.1500 0.3000
7 Pd 0.0000 0.2919 0.0000
8 Pd 0.8500 0.8500 0.7000
9 Pd 0.6558 0.4314 0.3117
10 Pd 0.3442 0.1198 0.6884
11 Pd 0.0000 0.7081 0.0000

Computed properties:
- Space group: Immm (71)
- Energy above the most stable polymorph in this dataset: 45 meV per atom
- D(E_F): 0.24 states/eV/atom



An optimized crystal structure of BaGeI2. Source: Alexandria, functional GGA-PBE.

Cell: 5.9465 5.9465 5.9465 Å, 60.00 60.00 60.00°
Each line ends with the local moment (μB).
Fractional positions:
1 I 0.2500 0.2500 0.2500  0.06
2 I 0.7500 0.7500 0.7500  0.06
3 Ge 0.0000 0.0000 0.0000  0.60
4 Ba 0.5000 0.5000 0.5000  0.09

Computed properties:
- Space group: Fm-3m (225)
- Energy relative to the elements, uncorrected: -2.3 eV per formula unit
- Energy above the most stable polymorph in this dataset: 0 meV per atom
- D(E_F): 0.84 states/eV/atom



An optimized crystal structure of Be2SnPd2. Source: Alexandria, functional GGA-PBE.

Cell: 6.6629 6.6629 3.0913 Å, 90.00 90.00 90.00°
Fractional positions:
1 Be 0.3800 0.8800 0.0000
2 Be 0.8800 0.6200 0.0000
3 Be 0.6200 0.1200 0.0000
4 Be 0.1200 0.3800 0.0000
5 Sn 0.0000 0.0000 0.0000
6 Sn 0.5000 0.5000 0.0000
7 Pd 0.1579 0.6579 0.5000
8 Pd 0.6579 0.8421 0.5000
9 Pd 0.8421 0.3421 0.5000
10 Pd 0.3421 0.1579 0.5000

Computed properties:
- Space group: P4/mbm (127)
- Energy above the most stable polymorph in this dataset: 0 meV per atom
- D(E_F): 0.22 states/eV/atom



An optimized crystal structure of Ta2TiCdHg. Source: Alexandria, functional GGA-PBE.

Cell: 5.0464 4.9576 5.0464 Å, 90.00 90.00 90.00°
Each line ends with the local moment (μB).
Fractional positions:
1 Cd 0.0000 0.0000 0.0000  0.02
2 Ti 0.5000 0.5000 0.5000  1.14
3 Hg 0.0000 0.5000 0.0000  0.00
4 Ta 0.0000 0.0000 0.5000  0.18
5 Ta 0.5000 0.0000 0.0000  0.05

Computed properties:
- Space group: P4/mmm (123)
- Total DFT energy (no corrections): -4.613 eV per atom
- D(E_F): 1.37 states/eV/atom



An optimized crystal structure of Ni5GeP2. Source: Alexandria, functional GGA-PBE.

Cell: 3.5124 5.1010 6.2528 Å, 114.07 106.31 90.00°
Fractional positions:
1 Ni 0.0000 0.5000 0.0000
2 Ni 0.6305 0.3824 0.2609
3 Ni 0.3695 0.6176 0.7391
4 Ni 0.6305 0.8785 0.2609
5 Ni 0.3695 0.1215 0.7391
6 Ge 0.0000 0.0000 0.0000
7 P 0.2052 0.7052 0.4104
8 P 0.7948 0.2948 0.5896

Computed properties:
- Space group: Immm (71)
- Total DFT energy (no corrections): -5.938 eV per atom
- D(E_F): 0.66 states/eV/atom



An optimized crystal structure of Ag4PdI2. Source: Alexandria, functional GGA-PBE.

Cell: 5.2215 5.2215 8.2663 Å, 71.59 71.59 90.00°
Fractional positions:
1 I 0.6398 0.6398 0.7204
2 I 0.3602 0.3602 0.2796
3 Pd 0.0000 0.0000 0.0000
4 Ag 0.8232 0.8232 0.3536
5 Ag 0.1768 0.1768 0.6464
6 Ag 0.0000 0.5000 0.0000
7 Ag 0.5000 0.0000 0.0000

Computed properties:
- Space group: I4/mmm (139)
- Energy relative to the elements, uncorrected: 2.2 eV per formula unit
- D(E_F): 0.05 states/eV/atom



An optimized crystal structure of HfCd. Source: Alexandria, functional GGA-PBE.

Cell: 3.2295 3.2295 29.8276 Å, 90.00 90.00 120.00°
Fractional positions:
1 Hf 0.0000 0.0000 0.1270
2 Hf 0.0000 0.0000 0.8730
3 Hf 0.3333 0.6667 0.7936
4 Hf 0.3333 0.6667 0.5397
5 Hf 0.6667 0.3333 0.4603
6 Hf 0.6667 0.3333 0.2064
7 Cd 0.0000 0.0000 0.6249
8 Cd 0.0000 0.0000 0.3751
9 Cd 0.3333 0.6667 0.2916
10 Cd 0.3333 0.6667 0.0417
11 Cd 0.6667 0.3333 0.9583
12 Cd 0.6667 0.3333 0.7084

Computed properties:
- Space group: R-3m (166)
- Total DFT energy (no corrections): -5.475 eV per atom
- D(E_F): 0.13 states/eV/atom



An optimized crystal structure of HfTiPd5. Source: Alexandria, functional GGA-PBE.

Cell: 4.0224 4.0224 7.2905 Å, 90.00 90.00 90.00°
Fractional positions:
1 Hf 0.0000 0.0000 0.5000
2 Ti 0.5000 0.5000 0.0000
3 Pd 0.0000 0.5000 0.7779
4 Pd 0.0000 0.5000 0.2221
5 Pd 0.5000 0.0000 0.7779
6 Pd 0.5000 0.0000 0.2221
7 Pd 0.5000 0.5000 0.5000

Computed properties:
- Space group: P4/mmm (123)
- Total DFT energy (no corrections): -6.855 eV per atom
- D(E_F): 0.43 states/eV/atom



An optimized crystal structure of Cs2RbAuS. Source: Alexandria, functional GGA-PBE.

Cell: 6.6969 6.6969 6.3064 Å, 90.00 90.00 90.00°
Fractional positions:
1 Cs 0.0000 0.5000 0.0000
2 Cs 0.5000 0.0000 0.0000
3 S 0.0000 0.0000 0.0000
4 Au 0.5000 0.5000 0.5000
5 Rb 0.0000 0.0000 0.5000

Computed properties:
- Space group: P4/mmm (123)
- Energy relative to the elements, uncorrected: -3.1 eV per formula unit



An optimized crystal structure of Na4GeH28Se4O14. Source: Alexandria, functional GGA-PBE.

Cell: 8.2569 8.5921 8.5921 Å, 99.48 103.28 76.72°
Fractional positions:
1 Na 0.4002 0.4313 0.1349
2 Na 0.5998 0.1349 0.4313
3 Na 0.6841 0.7413 0.4096
4 Na 0.3159 0.4096 0.7413
5 Ge 0.0000 0.9969 0.9969
6 H 0.9144 0.4430 0.6107
7 H 0.0856 0.6107 0.4430
8 H 0.8271 0.6084 0.6972
9 H 0.1729 0.6972 0.6084
10 H 0.9170 0.4914 0.1978
11 H 0.0830 0.1978 0.4914
12 H 0.9051 0.6716 0.1825
13 H 0.0949 0.1825 0.6716
14 H 0.9504 0.9416 0.5882
15 H 0.0496 0.5882 0.9416
16 H 0.9409 0.9489 0.4066
17 H 0.0591 0.4066 0.9489
18 H 0.4375 0.9353 0.1674
19 H 0.5625 0.1674 0.9353
20 H 0.6179 0.9062 0.1187
21 H 0.3821 0.1187 0.9062
22 H 0.7307 0.3991 0.3759
23 H 0.2693 0.3759 0.3991
24 H 0.7520 0.2914 0.2116
25 H 0.2480 0.2116 0.2914
26 H 0.6634 0.3037 0.7473
27 H 0.3366 0.7473 0.3037
28 H 0.6474 0.4252 0.6286
29 H 0.3526 0.6286 0.4252
30 H 0.6264 0.9221 0.7061
31 H 0.3736 0.7061 0.9221
32 H 0.4374 0.9467 0.6154
33 H 0.5626 0.6154 0.9467
34 Se 0.8525 0.2673 0.9823
35 Se 0.1475 0.9823 0.2673
36 Se 0.8081 0.8130 0.9312
37 Se 0.1919 0.9312 0.8130
38 O 0.8111 0.5300 0.5989
39 O 0.1889 0.5989 0.5300
40 O 0.9124 0.5982 0.2628
41 O 0.0876 0.2628 0.5982
42 O 0.8702 0.9400 0.4829
43 O 0.1298 0.4829 0.9400
44 O 0.5599 0.9255 0.2112
45 O 0.4401 0.2112 0.9255
46 O 0.6819 0.3186 0.2965
47 O 0.3181 0.2965 0.3186
48 O 0.5861 0.3470 0.6498
49 O 0.4139 0.6498 0.3470
50 O 0.5511 0.9473 0.6009
51 O 0.4489 0.6009 0.9473

Computed properties:
- Space group: C2 (5)
- Total DFT energy (no corrections): -4.693 eV per atom
- D(E_F): 0.00 states/eV/atom